one.
A relaxed structure of TaTcOs, computed with PBE.

a = 4.4262 Å, b = 4.4262 Å, c = 2.7808 Å
α = 90.00°, β = 90.00°, γ = 120.00°
With the nearest neighbours (Å) after each atom.
Sites, in units of the cell vectors:
Os: 0.0000 0.0000 0.0368  3 Ta 2.69, 2 Os 2.78, 3 Tc 2.80
Tc: 0.3333 0.6667 0.6225  3 Ta 2.67, 2 Tc 2.78, 3 Os 2.80
Ta: 0.6667 0.3333 0.3406  3 Tc 2.67, 3 Os 2.69, 2 Ta 2.78

## Properties
Space group: No. 156

two.
A relaxed structure of TaTcOs, computed with PBE.

a = 3.9575 Å, b = 3.9575 Å, c = 6.9687 Å
α = 106.50°, β = 106.50°, γ = 90.00°
With the nearest neighbours (Å) after each atom.
Sites, in units of the cell vectors:
Tc: 0.8436 0.8436 0.6872  5 Ta 2.58-2.80, 4 Os 2.81
Tc: 0.1564 0.1564 0.3128  5 Ta 2.58-2.80, 4 Os 2.81
Os: 0.5000 0.0000 0.0000  4 Ta 2.68, 4 Os 2.80, 4 Tc 2.81
Os: 0.0000 0.5000 0.0000  4 Ta 2.68, 4 Os 2.80, 4 Tc 2.81
Ta: 0.6415 0.6415 0.2830  5 Tc 2.58-2.80, 4 Os 2.68
Ta: 0.3585 0.3585 0.7170  5 Tc 2.58-2.80, 4 Os 2.68

## Properties
Space group: No. 139

three.
A relaxed structure of TaTcOs, computed with PBE.

a = 4.2838 Å, b = 4.2838 Å, c = 4.2838 Å
α = 60.00°, β = 60.00°, γ = 60.00°
With the nearest neighbours (Å) after each atom.
Sites, in units of the cell vectors:
Ta: 0.0000 0.0000 0.0000  4 Os 2.62
Os: 0.7500 0.7500 0.7500  4 Ta 2.62, 4 Tc 2.62
Tc: 0.5000 0.5000 0.5000  4 Os 2.62

## Properties
Space group: No. 216

four.
A relaxed structure of TaTcOs, computed with PBE.

a = 6.3375 Å, b = 6.3375 Å, c = 2.8059 Å
α = 77.21°, β = 77.21°, γ = 25.58°
With the nearest neighbours (Å) after each atom.
Sites, in units of the cell vectors:
Os: 0.0110 0.0110 0.9890  4 Tc 2.63, 4 Os 2.81, 4 Ta 2.90
Tc: 0.6540 0.6540 0.3460  4 Os 2.63, 4 Tc 2.81
Ta: 0.3350 0.3350 0.6650  4 Ta 2.81, 4 Os 2.90, 4 Tc 2.95

## Properties
Space group: No. 107

Most stable to least stable, the ends of the list are four and three.

one.
A relaxed structure of Ta3TcOs, computed with PBE.

a = 4.6935 Å, b = 4.6935 Å, c = 4.6935 Å
α = 90.00°, β = 90.00°, γ = 90.00°
With the nearest neighbours (Å) after each atom.
Sites, in units of the cell vectors:
Os: 0.5000 0.5000 0.5000  12 Ta 3.32
Ta: 0.0000 0.5000 0.0000  2 Tc 2.35
Ta: 0.5000 0.0000 0.0000  2 Tc 2.35
Ta: 0.0000 0.0000 0.5000  2 Tc 2.35
Tc: 0.0000 0.0000 0.0000  6 Ta 2.35

## Properties
Space group: No. 221

two.
A relaxed structure of Ta3TcOs, computed with PBE.

a = 4.7880 Å, b = 4.7880 Å, c = 4.7880 Å
α = 90.00°, β = 90.00°, γ = 90.00°
With the nearest neighbours (Å) after each atom.
Sites, in units of the cell vectors:
Ta: 0.5000 0.0000 0.0000  2 Os 2.39
Ta: 0.0000 0.0000 0.5000  2 Os 2.39
Ta: 0.0000 0.5000 0.0000  2 Os 2.39
Tc: 0.5000 0.5000 0.5000  12 Ta 3.39
Os: 0.0000 0.0000 0.0000  6 Ta 2.39

## Properties
Space group: No. 221

Most stable to least stable, the ends of the list are two and one.

one.
A relaxed structure of TaTeOs, computed with PBE.

a = 3.4290 Å, b = 3.4290 Å, c = 6.2254 Å
α = 90.00°, β = 90.00°, γ = 120.00°
With the nearest neighbours (Å) after each atom.
Sites, in units of the cell vectors:
Ta: 0.3333 0.6667 0.2910  3 Os 2.50
Te: 0.6667 0.3333 0.6644  3 Ta 3.05, 3 Os 3.09
Os: 0.0000 0.0000 0.0445  3 Ta 2.50

## Properties
Space group: No. 156

two.
A relaxed structure of TaTeOs, computed with PBE.

a = 6.1423 Å, b = 6.1421 Å, c = 3.1748 Å
α = 75.02°, β = 75.02°, γ = 29.96°
With the nearest neighbours (Å) after each atom.
Sites, in units of the cell vectors:
Ta: 0.6465 0.6465 0.3535  4 Os 2.66
Os: 0.0217 0.0217 0.9783  4 Ta 2.66
Te: 0.3319 0.3319 0.6681  4 Ta 3.09, 4 Os 3.12, 4 Te 3.17

## Properties
Space group: No. 107

three.
A relaxed structure of TaTeOs, computed with PBE.

a = 3.1481 Å, b = 3.1480 Å, c = 13.2981 Å
α = 90.00°, β = 90.00°, γ = 120.00°
With the nearest neighbours (Å) after each atom.
Sites, in units of the cell vectors:
Ta: 0.4448 0.8897 0.0000  6 Os 2.67
Ta: 0.4440 0.8880 0.5000  6 Te 2.90-2.91, 6 Ta 3.15
Os: 0.1118 0.2235 0.1471  3 Ta 2.67
Os: 0.1118 0.2235 0.8529  3 Ta 2.67
Te: 0.7771 0.5543 0.3296  3 Ta 2.90-2.91, 3 Os 3.03-3.04, 6 Te 3.15
Te: 0.7771 0.5543 0.6704  3 Ta 2.90-2.91, 3 Os 3.03-3.04, 6 Te 3.15

## Properties
Space group: No. 187

Most stable to least stable, the ends of the list are two and three.